# Cs3K2Rb, optimized geometry, DFT PBE
data_Cs3K2Rb
_chemical_formula_sum 'Cs12 K8 Rb4'
_cell_length_a 12.6439
_cell_length_b 14.4240
_cell_length_c 12.7733
_cell_angle_alpha 90.00
_cell_angle_beta 100.48
_cell_angle_gamma 90.00
_space_group_name_H-M_alt 'C 1 2/c 1'
_space_group_IT_number 15
_space_group_name_Hall '-C 2yc'
loop_
_atom_site_label
_atom_site_type_symbol
_atom_site_fract_x
_atom_site_fract_y
_atom_site_fract_z
_atom_site_occupancy
Cs1 Cs 0.0000 0.0627 0.2500 1
Cs2 Cs 0.2258 0.4182 0.9854 1
K1 K 0.1282 0.2496 0.6240 1
Rb1 Rb 0.0000 0.3853 0.2500 1
# V, Å³/cell: 2290.7
# ΔH_f (0 K), eV per atom: 0.02
# Calculated total energy, eV per atom: -0.93